(1)
Density functional theory data (PBE) for crystalline CsSbPd2 at its relaxed geometry.

The space group is Pmmn (No. 59, origin choice 2) and the conventional cell measures 4.604, 7.577 and 7.021 Å, with angles of 90.00, 90.00 and 90.00 degrees. Symmetry generates all atoms from Cs at (0.250, 0.250, 0.110), Sb at (0.250, 0.750, 0.412) and Pd at (0.250, 0.065, 0.590).

The volume is 30.61 Å³/atom. The total energy comes out at -4.30 eV per atom. The calculation puts the uncorrected formation energy at -457 meV per atom.

---

(2)
Density functional theory data (PBE) for crystalline CsSbPd at its relaxed geometry.

The space group is P4/nmm (No. 129, origin choice 2) and the conventional cell measures 5.221, 5.221 and 7.127 Å, with angles of 90.00, 90.00 and 90.00 degrees. Symmetry generates all atoms from Cs at (0.250, 0.250, 0.113), Sb at (0.250, 0.750, 0.500) and Pd at (0.250, 0.250, 0.620).

The volume is 32.38 Å³/atom. The total energy comes out at -3.77 eV per atom. The calculation puts the uncorrected formation energy at -385 meV per atom.

---

(3)
Density functional theory data (PBE) for crystalline Cs2Sb2Pd at its relaxed geometry.

The space group is Ibam (No. 72) and the conventional cell measures 6.276, 22.699 and 6.888 Å, with angles of 90.00, 90.00 and 90.00 degrees. Symmetry generates all atoms from Cs at (0.227, 0.138, 0.000), Sb at (0.201, 0.466, 0.000) and Pd at (0.000, 0.000, 0.250).

The volume is 49.06 Å³/atom. The total energy comes out at -3.40 eV per atom. The calculation puts the uncorrected formation energy at -366 meV per atom.

---

Number 1: magnetic moment 0.00 Bohr magnetons per cell. Number 2: magnetic moment 0.00 Bohr magnetons per cell. Number 3: magnetic moment 0.00 Bohr magnetons per cell.